! Al2Cu2Au (SCAN, single point on PBEsol structure); values from VASP
&SYSTEM
  ibrav = 0, nat = 5, ntyp = 3
/
ATOMIC_SPECIES
Au 196.97 Au.upf
Al 26.98 Al.upf
Cu 63.55 Cu.upf
CELL_PARAMETERS angstrom
-1.665 3.197 -0.654
-2.356 -0.670 2.723
5.451 1.264 2.564
ATOMIC_POSITIONS angstrom
Au 0.000 0.000 0.000
Al 0.542 0.929 3.161
Al 0.888 2.862 1.472
Cu 2.727 2.003 2.852
Cu -1.296 1.788 1.782
! space group: No. 139
! energy of formation from the pure elements: 39 meV/atom

***

! Ce (SCAN, single point on PBEsol structure); values from VASP
&SYSTEM
  ibrav = 0, nat = 1, ntyp = 1
/
ATOMIC_SPECIES
Ce 140.12 Ce.upf
CELL_PARAMETERS angstrom
3.232 0.000 0.000
1.616 2.799 0.000
1.616 0.933 2.639
ATOMIC_POSITIONS angstrom
Ce 0.000 0.000 0.000
! space group: No. 225
! E above lowest polymorph: 0 kJ/mol of formula units
! energy of formation from the pure elements: 0 meV/atom

***

! Bi19S27I3 (SCAN, single point on PBEsol structure); values from VASP
&SYSTEM
  ibrav = 0, nat = 98, ntyp = 3
/
ATOMIC_SPECIES
Bi 208.98 Bi.upf
S 32.06 S.upf
I 126.90 I.upf
CELL_PARAMETERS angstrom
-6.501 5.207 -8.605
11.570 -7.614 -7.794
-10.207 -9.660 7.422
ATOMIC_POSITIONS angstrom
Bi 2.068 -4.351 -13.980
Bi 4.364 -5.873 -11.003
Bi 6.441 -7.883 -8.181
Bi 1.216 -12.209 -1.296
Bi -3.160 -8.713 -7.114
Bi -0.838 -10.620 -4.389
Bi -1.951 0.703 -7.808
Bi 0.479 -0.954 -5.039
Bi 2.576 -2.654 -2.226
Bi -11.540 -4.253 -0.728
Bi -9.411 -5.920 2.081
Bi -7.338 -7.932 4.898
Bi -4.179 -1.595 -4.810
Bi -2.130 -3.179 -1.716
Bi -6.310 0.118 -7.590
Bi -7.518 -9.302 -6.907
Bi -5.539 -11.151 -3.881
Bi -3.448 -12.856 -1.066
Bi -5.419 4.340 -7.172
Bi -2.179 1.746 -2.884
Bi -10.030 -0.888 -5.405
Bi -5.743 -4.387 0.324
Bi -7.902 -2.566 -2.602
Bi -1.369 -9.008 -0.324
Bi -3.492 -7.298 -3.113
Bi -5.670 -5.510 -5.967
Bi -5.524 -10.555 1.981
Bi -7.786 -8.781 -0.895
Bi -9.887 -7.083 -3.707
Bi 2.772 -9.419 -6.428
Bi 0.556 -7.714 -9.303
Bi 4.932 -11.239 -3.501
Bi 0.523 -6.502 -2.989
Bi -1.598 -4.795 -5.780
Bi -3.799 -3.085 -8.742
Bi 4.819 -5.026 -5.212
Bi 2.557 -3.251 -8.088
Bi 0.421 -1.515 -11.006
S -4.799 0.612 -2.923
S -2.602 -1.024 -0.036
S -6.976 2.371 -5.814
S -5.296 -9.305 -8.567
S -3.188 -10.986 -5.647
S -1.006 -12.727 -2.749
S -13.330 -6.586 -0.878
S -11.136 -8.335 2.007
S -9.064 -10.103 4.908
S 1.816 -14.425 -3.180
S -2.494 -10.967 -8.895
S -0.368 -12.781 -6.065
S -4.169 0.710 -6.141
S -1.962 -1.063 -3.351
S 0.220 -2.820 -0.459
S 3.859 -2.012 -13.831
S 6.097 -3.707 -11.014
S 8.177 -5.473 -8.124
S 1.251 -6.349 -11.737
S 3.438 -8.068 -8.878
S 5.606 -9.840 -6.004
S -3.668 -5.760 -7.639
S -1.491 -7.479 -4.793
S 0.671 -9.238 -1.939
S 0.689 -1.065 -8.118
S 2.892 -2.798 -5.248
S -1.459 0.660 -11.003
S -10.725 -2.252 -2.972
S -8.576 -3.966 -0.099
S -6.412 -5.738 2.774
S -5.800 -2.836 -7.069
S -3.638 -4.562 -4.166
S -1.477 -6.320 -1.310
S -3.656 -12.742 2.009
S -8.007 -9.259 -3.711
S -5.859 -11.009 -0.858
S -7.410 -0.767 -4.605
S -5.236 -2.602 -1.752
S -3.089 -4.322 1.100
S -0.716 -11.602 0.498
S -5.060 -8.114 -5.262
S -2.842 -9.881 -2.461
S -12.081 -5.379 -3.858
S -9.989 -7.158 -0.968
S -7.728 -8.856 1.902
S -2.066 -7.832 -10.105
S 0.120 -9.486 -7.205
S 2.265 -11.202 -4.349
S -2.248 -2.200 -6.604
S -0.127 -3.918 -3.645
S -4.410 -0.482 -9.445
S 2.614 -3.219 -10.853
S 4.760 -4.953 -8.009
S 7.022 -6.648 -5.142
I -0.567 -4.395 -9.173
I 1.603 -6.123 -6.303
I 3.775 -7.864 -3.441
I -8.902 -4.203 -5.537
I -6.743 -5.940 -2.664
I -4.573 -7.682 0.198
! ΔE_f (raw): -1365 kJ/mol of formula units
! space group: No. 146

***

! TaTl2W (SCAN, single point on PBEsol structure); values from VASP
&SYSTEM
  ibrav = 0, nat = 4, ntyp = 3
/
ATOMIC_SPECIES
Ta 180.95 Ta.upf
Tl 204.38 Tl.upf
W 183.84 W.upf
CELL_PARAMETERS angstrom
4.131 0.000 0.000
0.000 4.131 0.000
0.000 0.000 4.501
ATOMIC_POSITIONS angstrom
Ta 0.000 0.000 2.250
Tl 0.000 2.066 0.000
Tl 2.066 0.000 0.000
W 2.066 2.066 2.250
! space group: No. 123
! E above lowest polymorph: 191 kJ/mol of formula units
! energy of formation from the pure elements: 1018 meV/atom

***

! Ba2Sn3Sb6 (SCAN, single point on PBEsol structure); values from VASP
&SYSTEM
  ibrav = 0, nat = 44, ntyp = 3
/
ATOMIC_SPECIES
Ba 137.33 Ba.upf
Sn 118.71 Sn.upf
Sb 121.76 Sb.upf
CELL_PARAMETERS angstrom
-3.300 -1.339 2.639
8.892 -4.115 9.032
-0.504 21.769 10.415
ATOMIC_POSITIONS angstrom
Ba 1.094 17.198 15.680
Ba 3.993 -0.884 6.406
Ba 5.714 7.654 16.614
Ba -0.626 8.660 5.472
Ba 0.538 10.709 11.691
Ba 4.549 5.605 10.395
Ba 4.842 14.805 19.151
Ba 0.246 1.510 2.935
Sn 3.309 9.253 14.418
Sn -1.287 17.814 13.014
Sn 6.375 -1.500 9.072
Sn 1.778 7.061 7.668
Sn 0.085 3.454 7.444
Sn 5.002 12.860 14.642
Sn 4.543 0.872 11.708
Sn 0.544 15.443 10.378
Sn -0.612 4.943 3.604
Sn 5.699 11.372 18.482
Sn 3.834 2.901 8.127
Sn 1.254 13.414 13.959
Sb 2.730 8.839 9.761
Sb 2.357 7.475 12.325
Sb 6.927 17.561 19.435
Sb -1.839 -1.247 2.652
Sb 3.880 11.405 12.501
Sb 5.758 -1.665 11.940
Sb 1.208 4.909 9.585
Sb -0.671 17.980 10.146
Sb 0.340 11.567 8.156
Sb 4.747 4.747 13.930
Sb 4.612 17.011 16.261
Sb 0.475 -0.696 5.825
Sb 1.307 20.208 13.750
Sb 3.780 -3.894 8.336
Sb 6.005 7.278 13.064
Sb -0.917 9.037 9.022
Sb 2.172 2.399 5.795
Sb 2.916 13.915 16.291
Sb 6.559 2.895 11.532
Sb -1.471 13.420 10.554
Sb 2.183 15.848 12.633
Sb 2.904 0.467 9.453
Sb 6.696 10.913 15.772
Sb -1.608 5.401 6.314
! ΔE_f (raw): -470 kJ/mol of formula units
! space group: No. 62

***

! Ho2MgTc (SCAN, single point on PBEsol structure); values from VASP
&SYSTEM
  ibrav = 0, nat = 4, ntyp = 3
/
ATOMIC_SPECIES
Mg 24.30 Mg.upf
Ho 164.93 Ho.upf
Tc 98.00 Tc.upf
CELL_PARAMETERS angstrom
4.934 0.000 0.000
2.467 4.273 0.000
2.467 1.424 4.029
ATOMIC_POSITIONS angstrom
Mg 0.000 0.000 0.000
Ho 7.402 4.273 3.022
Ho 2.467 1.424 1.007
Tc 4.934 2.849 2.014
! space group: No. 225
! energy of formation from the pure elements: -65 meV/atom

***

! Si2AsRh (SCAN, single point on PBEsol structure); values from VASP
&SYSTEM
  ibrav = 0, nat = 4, ntyp = 3
/
ATOMIC_SPECIES
As 74.92 As.upf
Rh 102.91 Rh.upf
Si 28.09 Si.upf
CELL_PARAMETERS angstrom
-0.446 -2.064 1.818
-2.829 -1.986 -2.949
3.525 -2.347 -1.801
ATOMIC_POSITIONS angstrom
As -1.637 -2.025 -0.566
Rh 0.348 -2.167 -2.375
Si 0.000 0.000 0.000
Si 1.540 -2.206 0.009
! ΔE_f (raw): 101 kJ/mol of formula units
! space group: No. 47
! E above lowest polymorph: 191 kJ/mol of formula units

***

! Ir2RuPt (SCAN, single point on PBEsol structure); values from VASP
&SYSTEM
  ibrav = 0, nat = 4, ntyp = 3
/
ATOMIC_SPECIES
Ru 101.07 Ru.upf
Ir 192.22 Ir.upf
Pt 195.08 Pt.upf
CELL_PARAMETERS angstrom
2.708 0.000 0.000
1.354 2.345 0.000
1.354 0.782 8.878
ATOMIC_POSITIONS angstrom
Ru 1.354 0.782 2.167
Ir 4.062 2.345 0.042
Ir 4.062 2.345 6.702
Pt 2.708 1.563 4.406
! space group: No. 160
! E above lowest polymorph: 10 kJ/mol of formula units
! energy of formation from the pure elements: 19 meV/atom

***

! FeTcW (SCAN, single point on PBEsol structure); values from VASP
&SYSTEM
  ibrav = 0, nat = 3, ntyp = 3
/
ATOMIC_SPECIES
Fe 55.84 Fe.upf
Tc 98.00 Tc.upf
W 183.84 W.upf
CELL_PARAMETERS angstrom
-1.151 -0.978 3.686
2.600 -1.653 2.526
1.340 2.079 3.123
ATOMIC_POSITIONS angstrom
Fe 0.697 -0.138 2.334
Tc 0.000 0.000 0.000
W 1.394 -0.277 4.668
! space group: No. 216
! energy of formation from the pure elements: 714 meV/atom

***

! BaScTc2 (SCAN, single point on PBEsol structure); values from VASP
&SYSTEM
  ibrav = 0, nat = 4, ntyp = 3
/
ATOMIC_SPECIES
Ba 137.33 Ba.upf
Sc 44.96 Sc.upf
Tc 98.00 Tc.upf
CELL_PARAMETERS angstrom
3.079 0.000 0.000
1.540 2.667 0.000
1.540 0.889 9.654
ATOMIC_POSITIONS angstrom
Ba 3.079 1.778 4.827
Sc 0.000 0.000 0.000
Tc 1.540 0.889 2.095
Tc 4.619 2.667 7.558
! space group: No. 166
! energy of formation from the pure elements: 921 meV/atom

***

! Cd2TeAu (SCAN, single point on PBEsol structure); values from VASP
&SYSTEM
  ibrav = 0, nat = 4, ntyp = 3
/
ATOMIC_SPECIES
Te 127.60 Te.upf
Au 196.97 Au.upf
Cd 112.41 Cd.upf
CELL_PARAMETERS angstrom
-0.189 -1.125 -4.308
4.324 -0.429 -0.077
-2.474 -3.520 3.333
ATOMIC_POSITIONS angstrom
Te -0.094 -0.563 -2.154
Au 2.162 -0.215 -0.039
Cd 1.862 -2.951 -1.616
Cd -0.201 -2.123 0.563
! ΔE_f (raw): 24 kJ/mol of formula units
! space group: No. 71

***

! FeTc2Au (SCAN, single point on PBEsol structure); values from VASP
&SYSTEM
  ibrav = 0, nat = 4, ntyp = 3
/
ATOMIC_SPECIES
Au 196.97 Au.upf
Fe 55.84 Fe.upf
Tc 98.00 Tc.upf
CELL_PARAMETERS angstrom
2.697 0.000 0.000
-1.348 4.454 0.002
0.000 -0.864 4.645
ATOMIC_POSITIONS angstrom
Au 0.000 4.000 2.268
Fe 1.348 1.966 1.097
Tc 0.000 -0.795 4.627
Tc 0.000 1.576 3.625
! space group: No. 8
! E above lowest polymorph: 33 kJ/mol of formula units
! energy of formation from the pure elements: 198 meV/atom

***

! ZnCrMo2Br (SCAN, single point on PBEsol structure); values from VASP
&SYSTEM
  ibrav = 0, nat = 5, ntyp = 4
/
ATOMIC_SPECIES
Cr 52.00 Cr.upf
Mo 95.94 Mo.upf
Zn 65.41 Zn.upf
Br 79.90 Br.upf
CELL_PARAMETERS angstrom
-2.265 -3.498 1.216
3.479 -2.678 -1.223
1.735 0.336 4.201
ATOMIC_POSITIONS angstrom
Cr -1.132 -1.749 0.608
Mo 0.868 0.168 2.100
Mo 1.740 -1.339 -0.611
Zn 1.475 -2.920 2.097
Br 0.000 0.000 0.000
! ΔE_f (raw): 725 kJ/mol of formula units
! space group: No. 123

***

! HfCu2TcGe (SCAN, single point on PBEsol structure); values from VASP
&SYSTEM
  ibrav = 0, nat = 5, ntyp = 4
/
ATOMIC_SPECIES
Ge 72.64 Ge.upf
Hf 178.49 Hf.upf
Tc 98.00 Tc.upf
Cu 63.55 Cu.upf
CELL_PARAMETERS angstrom
-1.051 1.683 3.768
2.695 -2.665 1.942
3.403 3.118 -0.444
ATOMIC_POSITIONS angstrom
Ge 0.000 0.000 0.000
Hf 2.524 1.068 2.633
Tc 1.701 1.559 -0.222
Cu 1.347 -1.332 0.971
Cu -0.525 0.842 1.884
! space group: No. 123
! energy of formation from the pure elements: 521 meV/atom

***

! CuTe2Br (SCAN, single point on PBEsol structure); values from VASP
&SYSTEM
  ibrav = 0, nat = 4, ntyp = 3
/
ATOMIC_SPECIES
Te 127.60 Te.upf
Br 79.90 Br.upf
Cu 63.55 Cu.upf
CELL_PARAMETERS angstrom
-2.238 -0.091 -3.213
3.624 -1.485 -2.482
-3.076 -4.593 2.272
ATOMIC_POSITIONS angstrom
Te 2.605 -2.079 -1.756
Te -2.057 -3.999 1.546
Br -0.845 -3.084 -1.712
Cu 0.693 -0.788 -2.848
! ΔE_f (raw): -63 kJ/mol of formula units
! space group: No. 10

***

! Co2HgTe (SCAN, single point on PBEsol structure); values from VASP
&SYSTEM
  ibrav = 0, nat = 4, ntyp = 3
/
ATOMIC_SPECIES
Te 127.60 Te.upf
Co 58.93 Co.upf
Hg 200.59 Hg.upf
CELL_PARAMETERS angstrom
3.189 0.000 0.000
0.000 4.404 0.000
0.000 0.000 4.404
ATOMIC_POSITIONS angstrom
Te 1.595 0.000 0.000
Co 0.000 0.000 2.202
Co 0.000 2.202 0.000
Hg 1.595 2.202 2.202
! ΔE_f (raw): 218 kJ/mol of formula units
! space group: No. 123

***

! Fe2TcNi (SCAN, single point on PBEsol structure); values from VASP
&SYSTEM
  ibrav = 0, nat = 4, ntyp = 3
/
ATOMIC_SPECIES
Fe 55.84 Fe.upf
Ni 58.69 Ni.upf
Tc 98.00 Tc.upf
CELL_PARAMETERS angstrom
-2.547 2.399 0.651
-0.212 -1.138 3.365
3.845 1.729 -1.055
ATOMIC_POSITIONS angstrom
Fe -1.379 0.631 2.008
Fe -0.040 2.379 0.802
Ni 0.000 0.000 0.000
Tc 1.127 0.611 2.159
! space group: No. 119
! energy of formation from the pure elements: 88 meV/atom

***

! SrAl2W (SCAN, single point on PBEsol structure); values from VASP
&SYSTEM
  ibrav = 0, nat = 4, ntyp = 3
/
ATOMIC_SPECIES
Sr 87.62 Sr.upf
Al 26.98 Al.upf
W 183.84 W.upf
CELL_PARAMETERS angstrom
4.790 0.000 0.000
2.395 4.148 0.000
2.395 1.383 3.911
ATOMIC_POSITIONS angstrom
Sr 0.000 0.000 0.000
Al 2.395 1.383 0.978
Al 7.185 4.148 2.933
W 4.790 2.766 1.956
! space group: No. 225
! E above lowest polymorph: 169 kJ/mol of formula units
! energy of formation from the pure elements: 605 meV/atom

***

! SrTcSn2Sb (SCAN, single point on PBEsol structure); values from VASP
&SYSTEM
  ibrav = 0, nat = 5, ntyp = 4
/
ATOMIC_SPECIES
Sb 121.76 Sb.upf
Sn 118.71 Sn.upf
Sr 87.62 Sr.upf
Tc 98.00 Tc.upf
CELL_PARAMETERS angstrom
-3.446 1.976 -3.204
3.040 -1.101 -3.949
-2.395 -4.936 -0.468
ATOMIC_POSITIONS angstrom
Sb -1.401 -2.031 -3.810
Sn 1.520 -0.551 -1.974
Sn -1.723 0.988 -1.602
Sr -1.198 -2.468 -0.234
Tc 0.000 0.000 0.000
! ΔE_f (raw): 95 kJ/mol of formula units
! space group: No. 123

***

! Ca2PO (SCAN, single point on PBEsol structure); values from VASP
&SYSTEM
  ibrav = 0, nat = 8, ntyp = 3
/
ATOMIC_SPECIES
P 30.97 P.upf
Ca 40.08 Ca.upf
O 16.00 O.upf
CELL_PARAMETERS angstrom
6.038 0.038 0.059
-2.493 5.500 -0.059
-2.493 -2.308 4.992
ATOMIC_POSITIONS angstrom
P 0.000 0.000 0.000
P 0.526 3.567 1.233
Ca -2.838 3.769 2.216
Ca 2.645 0.259 4.010
Ca -0.374 1.580 3.113
Ca 2.674 0.852 0.646
O -2.493 1.596 2.467
O 0.526 -0.337 3.759
! ΔE_f (raw): -707 kJ/mol of formula units
! space group: No. 122

***

! La2Fe2I (SCAN, single point on PBEsol structure); values from VASP
&SYSTEM
  ibrav = 0, nat = 10, ntyp = 3
/
ATOMIC_SPECIES
La 138.91 La.upf
Fe 55.84 Fe.upf
I 126.90 I.upf
CELL_PARAMETERS angstrom
-3.444 -0.092 1.998
1.534 -3.364 -1.480
8.934 -2.644 15.277
ATOMIC_POSITIONS angstrom
La 3.513 -1.040 6.006
La 7.980 -2.362 13.645
La 5.422 -1.605 9.271
La 0.954 -0.282 1.632
Fe 2.687 -2.506 8.484
Fe -0.121 -2.275 -0.314
Fe 4.338 -3.594 7.311
Fe 7.146 -3.826 16.109
I 0.449 -1.844 4.658
I 6.576 -4.257 11.137
! ΔE_f (raw): -222 kJ/mol of formula units
! space group: No. 194

***

! Ta2SiTe (SCAN, single point on PBEsol structure); values from VASP
&SYSTEM
  ibrav = 0, nat = 4, ntyp = 3
/
ATOMIC_SPECIES
Si 28.09 Si.upf
Ta 180.95 Ta.upf
Te 127.60 Te.upf
CELL_PARAMETERS angstrom
-0.904 -0.841 -3.224
-3.434 -1.921 1.464
-2.514 4.197 -0.389
ATOMIC_POSITIONS angstrom
Si -2.974 1.138 0.538
Ta 0.000 0.000 0.000
Ta -1.709 1.678 -1.806
Te -2.169 -1.381 -0.880
! ΔE_f (raw): 135 kJ/mol of formula units
! space group: No. 47
! E above lowest polymorph: 115 kJ/mol of formula units